No. 1
CaMgSc2Pb PBE optimized geometry; ΔH_f (0 K) = 0.41 eV/atom; space-group type = P4/mmm
1.0
5.8664 0.0000 0.0000
0.0000 6.0406 0.0000
0.0000 0.0000 5.8664
Pb Sc Ca Mg
1 2 1 1
direct
0.0000 0.0000 0.0000
0.0000 0.0000 0.5000
0.5000 0.0000 0.0000
0.0000 0.5000 0.0000
0.5000 0.5000 0.5000



No. 2
TaTi2HIr PBE optimized geometry; space-group type = P4/mmm
1.0
3.8916 0.0000 0.0000
0.0000 3.8916 0.0000
0.0000 0.0000 4.4253
H Ir Ti Ta
1 1 2 1
direct
0.0000 0.0000 0.0000
0.5000 0.5000 0.5000
0.0000 0.5000 0.0000
0.5000 0.0000 0.0000
0.0000 0.0000 0.5000



No. 3
Hf6OsN4 PBE optimized geometry; space-group type = Cmcm; energy relative to the elements, uncorrected = -1407 meV/atom
1.0
-0.8188 -1.1889 2.9086
0.1940 -4.4763 -3.5876
16.5327 -2.2702 3.7264
Hf Os N
12 2 8
direct
0.5000 0.0000 0.0000
0.5000 0.0000 0.5000
0.0425 0.0849 0.3491
0.9575 0.9151 0.6509
0.9575 0.9151 0.8491
0.0425 0.0849 0.1509
0.7745 0.5490 0.4181
0.2255 0.4510 0.5819
0.2255 0.4510 0.9181
0.7745 0.5490 0.0819
0.3516 0.7033 0.2500
0.6484 0.2967 0.7500
0.6644 0.3287 0.2500
0.3356 0.6713 0.7500
0.8605 0.7210 0.5373
0.4055 0.8111 0.1183
0.1395 0.2790 0.4627
0.5945 0.1889 0.8817
0.8605 0.7210 0.9627
0.1395 0.2790 0.0373
0.5945 0.1889 0.6183
0.4055 0.8111 0.3817



No. 4
SbSe2BrN PBE optimized geometry; space-group type = P4/mmm; energy relative to the elements, uncorrected = 1289 meV/atom
1.0
-4.6761 -0.9101 -2.4854
-0.9853 -4.0844 3.3494
-1.7406 2.3884 2.4004
Sb Se Br N
1 2 1 1
direct
0.5000 0.5000 0.5000
0.0000 0.5000 0.0000
0.5000 0.0000 0.0000
0.0000 0.0000 0.0000
0.0000 0.0000 0.5000



no.,electronic total energy (eV per cell)
1,-17.91
2,-41.69
3,-239.46
4,-14.65